(1)
First-principles (PBE-GGA) data for a relaxed structure of CrRh2N, as listed in Alexandria via LeMat-Bulk.

Unit cell a=4.942 b=4.942 c=6.058 alpha=65.93 beta=65.93 gamma=90.00
Last column: magnetic moment on the atom in μB.
Fractional coordinates of all 8 atoms:
Rh 0.192 0.625 0.250  -0.13
Rh 0.558 0.125 0.250  -0.15
Cr 0.750 0.250 0.500  1.23
N 0.250 0.750 0.500  -0.05
Rh 0.875 0.808 0.750  -0.14
N 0.500 0.500 0.000  -0.05
Cr 0.000 0.000 0.000  1.25
Rh 0.375 0.442 0.750  -0.09

Summary:
total DFT energy (no corrections) = -60.67 eV for the cell shown
space group = I-42d, No. 122
size of the total moment = 1.98 μB/cell

---

(2)
First-principles (PBE-GGA) data for a relaxed structure of SmHoGaPb, as listed in Alexandria via LeMat-Bulk.

Unit cell a=5.311 b=5.311 c=5.311 alpha=60.00 beta=60.00 gamma=60.00
Fractional coordinates of all 4 atoms:
Ga 0.000 0.000 0.000
Sm 0.250 0.250 0.250
Pb 0.500 0.500 0.500
Ho 0.750 0.750 0.750

Summary:
total DFT energy (no corrections) = -17.77 eV for the cell shown
space group = F-43m, No. 216
size of the total moment = 0.00 μB/cell

---

(3)
First-principles (PBE-GGA) data for a relaxed structure of SmTm3Pd2, as listed in Alexandria via LeMat-Bulk.

Unit cell a=4.860 b=7.075 c=8.700 alpha=90.00 beta=90.00 gamma=90.00
Fractional coordinates of all 12 atoms:
Pd 0.000 0.755 0.339
Tm 0.000 0.856 0.673
Tm 0.000 0.983 0.075
Pd 0.500 0.746 0.849
Pd 0.500 0.246 0.151
Tm 0.000 0.356 0.327
Sm 0.500 0.016 0.421
Pd 0.000 0.255 0.661
Tm 0.500 0.144 0.832
Sm 0.500 0.516 0.579
Tm 0.500 0.644 0.168
Tm 0.000 0.483 0.925

Summary:
total DFT energy (no corrections) = -64.71 eV for the cell shown
space group = Pmc2_1, No. 26
size of the total moment = 0.00 μB/cell

---

(4)
First-principles (PBE-GGA) data for a relaxed structure of Dy2ErZr, as listed in Alexandria via LeMat-Bulk.

Unit cell a=3.347 b=3.347 c=12.071 alpha=82.03 beta=82.03 gamma=60.00
Fractional coordinates of all 4 atoms:
Dy 0.913 0.913 0.261
Zr 0.000 0.000 0.000
Er 0.500 0.500 0.500
Dy 0.087 0.087 0.739

Summary:
E above lowest polymorph = 213 meV/atom
total DFT energy (no corrections) = -21.17 eV for the cell shown
space group = R-3m, No. 166
size of the total moment = 0.00 μB/cell